# GGA-PBE Mn3Mo, relaxed
# - size of the total moment (Bohr magnetons per cell) = 1.27
# - Fermi-level density of states (states/eV per cell) = 7.10
# - crystal system = hexagonal
# - DFT formation energy (meV/atom) = 267
data_Mn3Mo
_chemical_formula_sum 'Mn3 Mo1'
_cell_length_a 2.6111
_cell_length_b 2.6111
_cell_length_c 8.4483
_cell_angle_alpha 90.00
_cell_angle_beta 90.00
_cell_angle_gamma 120.00
_symmetry_space_group_name_H-M 'P -6 m 2'
_symmetry_Int_Tables_number 187
_symmetry_space_group_name_Hall 'P -6 2'
loop_
_atom_site_label
_atom_site_type_symbol
_atom_site_fract_x
_atom_site_fract_y
_atom_site_fract_z
Mn1 Mn 0.0000 0.0000 0.0000
Mn2 Mn 0.6667 0.3333 0.2300
Mo1 Mo 0.0000 0.0000 0.5000